# 1
A geometry-optimized Pr5SmIr4 structure. Source: Alexandria via LeMat-Bulk, functional PBE.

Summary:
Space group: C2/m (12)
M_tot (μB per atom): 0.00
E_form (meV/atom): -511

Cell lengths 4.3446, 7.6973, 9.6789 Å; angles 113.53, 102.97, 90.00 degrees
Last column: nearest neighbours and their distance in Å.
Positions (direct):
1 Sm 0.5000 0.0000 0.0000  4 Ir 2.90
2 Ir 0.6976 0.1974 0.3952  6 Pr 2.92-3.09
3 Pr 0.8352 0.5930 0.6704  4 Ir 2.84-3.09
4 Ir 0.3024 0.8026 0.6048  6 Pr 2.92-3.09
5 Pr 0.5000 0.5000 0.0000  4 Ir 2.90
6 Ir 0.0000 0.2500 0.0000  4 Pr 2.84-2.90, 2 Sm 2.90
7 Ir 0.0000 0.7500 0.0000  4 Pr 2.84-2.90, 2 Sm 2.90
8 Pr 0.1649 0.9222 0.3297  4 Ir 2.84-3.09
9 Pr 0.1648 0.4070 0.3296  4 Ir 2.84-3.09
10 Pr 0.8351 0.0778 0.6703  4 Ir 2.84-3.09

***

# 2
A geometry-optimized MgRuO4 structure. Source: Alexandria via LeMat-Bulk, functional PBE.

Summary:
Space group: Pnc2 (30)
Formation energy from raw total energies (eV/f.u.): -8.30
M_tot (μB per atom): 0.00

Cell lengths 4.5525, 5.1322, 5.6144 Å; angles 90.00, 90.00, 90.00 degrees
Last column: nearest neighbours and their distance in Å.
Positions (direct):
1 O 0.7566 0.1523 0.1177  2 Ru 1.93-2.01, 1 Mg 2.11
2 O 0.7122 0.6905 0.3760  1 Ru 1.86, 1 Mg 2.03
3 Mg 0.5000 0.5000 0.6603  6 O 2.03-2.11
4 O 0.7434 0.1523 0.6177  2 Ru 1.93-2.01, 1 Mg 2.11
5 O 0.2122 0.3095 0.8760  1 Ru 1.86, 1 Mg 2.03
6 O 0.2566 0.8477 0.6177  2 Ru 1.93-2.01, 1 Mg 2.11
7 Ru 0.5000 0.0000 0.3523  6 O 1.86-2.01
8 Mg 0.0000 0.5000 0.1603  6 O 2.03-2.11
9 O 0.7878 0.6905 0.8760  1 Ru 1.86, 1 Mg 2.03
10 O 0.2434 0.8477 0.1177  2 Ru 1.93-2.01, 1 Mg 2.11
11 O 0.2878 0.3095 0.3760  1 Ru 1.86, 1 Mg 2.03
12 Ru 0.0000 0.0000 0.8523  6 O 1.86-2.01

***

# 3
A geometry-optimized Rb2BeCuBr6 structure. Source: Alexandria via LeMat-Bulk, functional PBE.

Summary:
Space group: I4/mmm (139)
Formation energy from raw total energies (eV/f.u.): -9.43
M_tot (μB per atom): 0.00

Cell lengths 7.3748, 7.3748, 7.6139 Å; angles 61.03, 61.03, 90.00 degrees
Last column: nearest neighbours and their distance in Å.
Positions (direct):
1 Br 0.7221 0.7221 0.0000  1 Be 2.32
2 Br 0.7895 0.7895 0.4211  1 Cu 2.34
3 Br 0.2105 0.2105 0.5789  1 Cu 2.34
4 Rb 0.2500 0.7500 0.5000  12 Br 3.71-3.82
5 Be 0.5000 0.5000 0.0000  4 Br 2.32
6 Rb 0.7500 0.2500 0.5000  12 Br 3.71-3.82
7 Br 0.7221 0.2779 0.0000  1 Be 2.32
8 Br 0.2779 0.2779 0.0000  1 Be 2.32
9 Cu 0.0000 0.0000 0.0000  2 Br 2.34
10 Br 0.2779 0.7221 0.0000  1 Be 2.32

***

# 4
A geometry-optimized Cs12Na3Cd5 structure. Source: Alexandria via LeMat-Bulk, functional PBE.

Summary:
Space group: Ia-3d (230)
M_tot (μB per atom): 0.00
E_form (meV/atom): 128

Cell lengths 20.8000, 20.8000, 20.8000 Å; angles 109.47, 109.47, 109.47 degrees
Last column: nearest neighbours and their distance in Å.
Positions (direct):
1 Cs 0.1745 0.0965 0.7146  2 Cd 3.78-3.94
2 Cd 0.7500 0.1250 0.8750  4 Cs 3.78
3 Cs 0.0965 0.9220 0.3819  2 Cd 3.78-3.94
4 Na 0.1250 0.8750 0.7500  8 Cs 4.45-4.74
5 Cs 0.4035 0.1181 0.5780  2 Cd 3.78-3.94
6 Cs 0.8819 0.2854 0.4599  2 Cd 3.78-3.94
7 Cs 0.9220 0.0965 0.8819  2 Cd 3.78-3.94
8 Na 0.8750 0.7500 0.1250  8 Cs 4.45-4.74
9 Cs 0.1181 0.4035 0.0780  2 Cd 3.78-3.94
10 Cs 0.1181 0.7146 0.5401  2 Cd 3.78-3.94
11 Cs 0.4599 0.6745 0.0780  2 Cd 3.78-3.94
12 Cd 0.8750 0.6250 0.7500  4 Cs 3.78
13 Na 0.8750 0.1250 0.2500  8 Cs 4.45-4.74
14 Cs 0.0780 0.1745 0.4599  2 Cd 3.78-3.94
15 Cs 0.7146 0.1181 0.0401  2 Cd 3.78-3.94
16 Cd 0.0000 0.0000 0.5000  6 Cs 3.94
17 Cs 0.5780 0.6181 0.4035  2 Cd 3.78-3.94
18 Cs 0.6181 0.0401 0.2146  2 Cd 3.78-3.94
19 Cs 0.1745 0.0780 0.9599  2 Cd 3.78-3.94
20 Cd 0.3750 0.1250 0.7500  4 Cs 3.78
21 Na 0.6250 0.2500 0.3750  8 Cs 4.45-4.74
22 Cs 0.9035 0.8255 0.7854  2 Cd 3.78-3.94
23 Cd 0.6250 0.8750 0.2500  4 Cs 3.78
24 Cs 0.6745 0.4599 0.5780  2 Cd 3.78-3.94
25 Cs 0.3819 0.4220 0.0965  2 Cd 3.78-3.94
26 Cs 0.6181 0.5780 0.9035  2 Cd 3.78-3.94
27 Cs 0.9599 0.3819 0.2854  2 Cd 3.78-3.94
28 Cd 0.1250 0.7500 0.3750  4 Cs 3.78
29 Na 0.1250 0.2500 0.8750  8 Cs 4.45-4.74
30 Cs 0.4599 0.7854 0.8819  2 Cd 3.78-3.94
31 Cs 0.8255 0.9220 0.0401  2 Cd 3.78-3.94
32 Cs 0.4220 0.0401 0.3255  2 Cd 3.78-3.94
33 Cs 0.7854 0.3255 0.9035  2 Cd 3.78-3.94
34 Cs 0.3819 0.9599 0.7854  2 Cd 3.78-3.94
35 Cd 0.5000 0.0000 0.0000  6 Cs 3.94
36 Na 0.6250 0.3750 0.7500  8 Cs 4.45-4.74
37 Cs 0.9220 0.8255 0.5401  2 Cd 3.78-3.94
38 Cs 0.4035 0.2854 0.3255  2 Cd 3.78-3.94
39 Cs 0.0401 0.6181 0.7146  2 Cd 3.78-3.94
40 Cs 0.0965 0.1745 0.2146  2 Cd 3.78-3.94
41 Na 0.7500 0.3750 0.1250  8 Cs 4.45-4.74
42 Cd 0.3750 0.2500 0.1250  4 Cs 3.78
43 Cs 0.7854 0.4599 0.3819  2 Cd 3.78-3.94
44 Cs 0.2146 0.5401 0.6181  2 Cd 3.78-3.94
45 Cs 0.5965 0.7146 0.6745  2 Cd 3.78-3.94
46 Cd 0.1250 0.3750 0.2500  4 Cs 3.78
47 Cd 0.6250 0.7500 0.8750  4 Cs 3.78
48 Cs 0.9035 0.0780 0.6181  2 Cd 3.78-3.94
49 Cs 0.3255 0.7854 0.4035  2 Cd 3.78-3.94
50 Cd 0.0000 0.5000 0.0000  6 Cs 3.94
51 Cs 0.9599 0.5780 0.1745  2 Cd 3.78-3.94
52 Cs 0.5965 0.8819 0.4220  2 Cd 3.78-3.94
53 Na 0.2500 0.6250 0.8750  8 Cs 4.45-4.74
54 Cd 0.2500 0.8750 0.1250  4 Cs 3.78
55 Cs 0.6745 0.2146 0.5965  2 Cd 3.78-3.94
56 Cd 0.5000 0.5000 0.0000  6 Cs 3.94
57 Cs 0.2146 0.6745 0.0965  2 Cd 3.78-3.94
58 Cs 0.8819 0.5965 0.9220  2 Cd 3.78-3.94
59 Cs 0.3255 0.5401 0.4220  2 Cd 3.78-3.94
60 Cs 0.8255 0.9035 0.2854  2 Cd 3.78-3.94
61 Cs 0.7146 0.5965 0.1745  2 Cd 3.78-3.94
62 Cs 0.2854 0.8819 0.9599  2 Cd 3.78-3.94
63 Na 0.3750 0.7500 0.6250  8 Cs 4.45-4.74
64 Cs 0.5401 0.2146 0.1181  2 Cd 3.78-3.94
65 Na 0.7500 0.8750 0.6250  8 Cs 4.45-4.74
66 Cd 0.7500 0.6250 0.3750  4 Cs 3.78
67 Cs 0.4220 0.3819 0.5965  2 Cd 3.78-3.94
68 Cs 0.0401 0.4220 0.8255  2 Cd 3.78-3.94
69 Cd 0.8750 0.2500 0.6250  4 Cs 3.78
70 Cs 0.5780 0.9599 0.6745  2 Cd 3.78-3.94
71 Cd 0.2500 0.3750 0.6250  4 Cs 3.78
72 Cd 0.0000 0.5000 0.5000  6 Cs 3.94
73 Cs 0.0780 0.9035 0.1181  2 Cd 3.78-3.94
74 Cs 0.2854 0.4035 0.8255  2 Cd 3.78-3.94
75 Cd 0.5000 0.0000 0.5000  6 Cs 3.94
76 Cs 0.5401 0.3255 0.9220  2 Cd 3.78-3.94
77 Cd 0.0000 0.0000 0.0000  6 Cs 3.94
78 Cd 0.5000 0.5000 0.5000  6 Cs 3.94
79 Na 0.2500 0.1250 0.3750  8 Cs 4.45-4.74
80 Na 0.3750 0.6250 0.2500  8 Cs 4.45-4.74